Below is a geometry-optimized DyPa2Se3 structure, with properties calculated at the GGA-PBE level.

ΔE_f (raw): -1.379 eV per atom
Calculated total energy: -169.3 eV per cell
Size of the total moment: 3.0 Bohr magnetons per cell
Crystal system: orthorhombic

Cell lengths 8.0385, 5.7476, 12.3511 Å; angles 90.00, 90.00, 90.00 degrees
Closest atoms and distances in Å follow each position.
Atoms (fractional coordinates):
1 Dy 0.1291 0.2500 0.0844  6 Se 2.83-2.87
2 Dy 0.3709 0.7500 0.5844  6 Se 2.83-2.87
3 Dy 0.6291 0.2500 0.4156  6 Se 2.83-2.87
4 Dy 0.8709 0.7500 0.9156  6 Se 2.83-2.87
5 Pa 0.1209 0.2500 0.4171  6 Se 2.87-2.89
6 Pa 0.1238 0.2500 0.7494  6 Se 2.87-2.92
7 Pa 0.3762 0.7500 0.2494  6 Se 2.87-2.92
8 Pa 0.3791 0.7500 0.9171  6 Se 2.87-2.89
9 Pa 0.6209 0.2500 0.0829  6 Se 2.87-2.89
10 Pa 0.6238 0.2500 0.7506  6 Se 2.87-2.92
11 Pa 0.8762 0.7500 0.2506  6 Se 2.87-2.92
12 Pa 0.8791 0.7500 0.5829  6 Se 2.87-2.89
13 Se 0.1225 0.7500 0.0806  3 Dy 2.87, 3 Pa 2.89-2.92
14 Se 0.1253 0.7500 0.7525  2 Dy 2.86-2.87, 4 Pa 2.87-2.88
15 Se 0.1295 0.7500 0.4173  1 Dy 2.83, 5 Pa 2.87-2.90
16 Se 0.3705 0.2500 0.9173  1 Dy 2.83, 5 Pa 2.87-2.90
17 Se 0.3747 0.2500 0.2525  2 Dy 2.86-2.87, 4 Pa 2.87-2.88
18 Se 0.3775 0.2500 0.5806  3 Dy 2.87, 3 Pa 2.89-2.92
19 Se 0.6225 0.7500 0.4194  3 Dy 2.87, 3 Pa 2.89-2.92
20 Se 0.6253 0.7500 0.7475  2 Dy 2.86-2.87, 4 Pa 2.87-2.88
21 Se 0.6295 0.7500 0.0827  1 Dy 2.83, 5 Pa 2.87-2.90
22 Se 0.8705 0.2500 0.5827  1 Dy 2.83, 5 Pa 2.87-2.90
23 Se 0.8747 0.2500 0.2475  2 Dy 2.86-2.87, 4 Pa 2.87-2.88
24 Se 0.8775 0.2500 0.9194  3 Dy 2.87, 3 Pa 2.89-2.92

---

Below is a geometry-optimized Na2InSn2 structure, with properties calculated at the GGA-PBE level.

ΔE to the lowest computed polymorph: 0.1940 eV per atom
Calculated total energy: -13.2 eV per cell
Size of the total moment: 0.0 Bohr magnetons per cell
E_form: 0.0379 eV per atom
Crystal system: tetragonal

Cell lengths 8.7651, 8.7651, 8.7651 Å; angles 151.67, 151.67, 40.49 degrees
Closest atoms and distances in Å follow each position.
Atoms (fractional coordinates):
1 Na 0.0970 0.0970 0.0000  1 Na 3.19, 4 Sn 3.31, 4 In 3.43
2 Na 0.9030 0.9030 0.0000  1 Na 3.19, 4 Sn 3.31, 4 In 3.43
3 In 0.5000 0.5000 0.0000  8 Na 3.43
4 Sn 0.2500 0.7500 0.5000  4 Sn 3.03, 4 Na 3.31
5 Sn 0.7500 0.2500 0.5000  4 Sn 3.03, 4 Na 3.31

---

Below is a geometry-optimized MnMoCl structure, with properties calculated at the GGA-PBE level.

ΔE to the lowest computed polymorph: 0.3621 eV per atom
ΔE_f (raw): 0.588 eV per atom
Calculated total energy: -20.1 eV per cell
Size of the total moment: 2.1 Bohr magnetons per cell
Crystal system: trigonal

Cell lengths 4.2374, 4.2374, 2.9315 Å; angles 90.00, 90.00, 120.00 degrees
Closest atoms and distances in Å follow each position.
Atoms (fractional coordinates):
1 Mn 0.0000 0.0000 0.0000  6 Cl 2.85, 6 Mo 2.85, 2 Mn 2.93
2 Mo 0.6667 0.3333 0.5015  3 Cl 2.45
3 Cl 0.3333 0.6667 0.5018  3 Mo 2.45

---

Below is a geometry-optimized ZrBPt2 structure, with properties calculated at the GGA-PBE level.

Calculated total energy: -57.4 eV per cell
Size of the total moment: 0.0 Bohr magnetons per cell
E_form: -0.3439 eV per atom
Crystal system: tetragonal

Cell lengths 6.7453, 6.7453, 6.7453 Å; angles 134.58, 134.58, 66.18 degrees
Closest atoms and distances in Å follow each position.
Atoms (fractional coordinates):
1 Zr 0.0000 0.0000 0.0000  4 Pt 2.64
2 Zr 0.7500 0.2500 0.5000  4 Pt 2.64
3 B 0.2500 0.7500 0.5000  4 Pt 2.08
4 B 0.5000 0.5000 0.0000  4 Pt 2.08
5 Pt 0.2232 0.6250 0.0982  2 B 2.08
6 Pt 0.3750 0.4732 0.5982  2 B 2.08
7 Pt 0.5268 0.1250 0.9018  2 B 2.08
8 Pt 0.8750 0.7768 0.4018  2 B 2.08

---

Below is a geometry-optimized PrZn6 structure, with properties calculated at the GGA-PBE level.

ΔE to the lowest computed polymorph: 0.3811 eV per atom
Calculated total energy: -11.3 eV per cell
Size of the total moment: 0.0 Bohr magnetons per cell
E_form: 0.1587 eV per atom
Crystal system: cubic

Cell lengths 5.8558, 5.8558, 5.8558 Å; angles 109.47, 109.47, 109.47 degrees
Closest atoms and distances in Å follow each position.
Atoms (fractional coordinates):
1 Pr 0.0000 0.0000 0.0000  24 Zn 3.78
2 Zn 0.2500 0.5000 0.7500  4 Zn 2.39
3 Zn 0.2500 0.7500 0.5000  4 Zn 2.39
4 Zn 0.5000 0.2500 0.7500  4 Zn 2.39
5 Zn 0.5000 0.7500 0.2500  4 Zn 2.39
6 Zn 0.7500 0.2500 0.5000  4 Zn 2.39
7 Zn 0.7500 0.5000 0.2500  4 Zn 2.39

---

Below is a geometry-optimized PrNdCoHg structure, with properties calculated at the GGA-PBE level.

Calculated total energy: -17.4 eV per cell
Size of the total moment: 0.6 Bohr magnetons per cell
E_form: -0.1171 eV per atom
Crystal system: cubic

Cell lengths 5.2274, 5.2274, 5.2274 Å; angles 60.00, 60.00, 60.00 degrees
Closest atoms and distances in Å follow each position.
Atoms (fractional coordinates):
1 Pr 0.0000 0.0000 0.0000  4 Hg 3.20, 4 Co 3.20
2 Nd 0.5000 0.5000 0.5000  4 Hg 3.20, 4 Co 3.20
3 Co 0.2500 0.2500 0.2500  4 Pr 3.20, 4 Nd 3.20
4 Hg 0.7500 0.7500 0.7500  4 Pr 3.20, 4 Nd 3.20

---

Below is a geometry-optimized LaH3Ir structure, with properties calculated at the GGA-PBE level.

Calculated total energy: -24.1 eV per cell
Size of the total moment: 0.0 Bohr magnetons per cell
Crystal system: tetragonal

Cell lengths 3.7793, 3.7793, 4.2020 Å; angles 90.00, 90.00, 90.00 degrees
Closest atoms and distances in Å follow each position.
Atoms (fractional coordinates):
1 La 0.0000 0.0000 0.0000  2 H 2.08-2.12
2 H 0.0000 0.0000 0.5045  4 H 1.96, 2 La 2.08-2.12
3 H 0.0000 0.5000 0.6247  2 Ir 1.89, 2 H 1.96
4 H 0.5000 0.0000 0.6247  2 Ir 1.89, 2 H 1.96
5 Ir 0.5000 0.5000 0.6142  4 H 1.89

---

Below is a geometry-optimized PmPr3In2 structure, with properties calculated at the GGA-PBE level.

ΔE to the lowest computed polymorph: 0.2060 eV per atom
Calculated total energy: -25.4 eV per cell
Size of the total moment: 0.0 Bohr magnetons per cell
E_form: -0.1418 eV per atom
Crystal system: orthorhombic

Cell lengths 3.3771, 5.4401, 9.6515 Å; angles 90.00, 90.00, 90.00 degrees
Closest atoms and distances in Å follow each position.
Atoms (fractional coordinates):
1 Pm 0.0000 0.0000 0.0000  3 Pr 3.15-3.18, 2 Pm 3.38
2 Pr 0.0000 0.0000 0.3261  1 Pm 3.15, 4 Pr 3.20-3.38
3 Pr 0.0000 0.5000 0.5010  5 Pr 3.16-3.38
4 Pr 0.0000 0.5000 0.8286  3 Pr 3.16-3.38, 2 Pm 3.18
5 In 0.5000 0.0000 0.6660  2 In 3.38, 10 Pr 3.57-3.69, 2 Pm 3.64
6 In 0.5000 0.5000 0.1613  2 In 3.38, 4 Pm 3.56, 8 Pr 3.57-3.69

---

Below is a geometry-optimized Sc4OsPd structure, with properties calculated at the GGA-PBE level.

ΔE to the lowest computed polymorph: 0.0000 eV per atom
Calculated total energy: -44.5 eV per cell
Size of the total moment: 0.0 Bohr magnetons per cell
E_form: -0.4573 eV per atom
Crystal system: tetragonal

Cell lengths 3.2394, 3.2394, 11.6975 Å; angles 90.00, 90.00, 90.00 degrees
Closest atoms and distances in Å follow each position.
Atoms (fractional coordinates):
1 Sc 0.0000 0.0000 0.1314  4 Os 2.76, 1 Sc 3.07
2 Sc 0.0000 0.0000 0.8686  4 Os 2.76, 1 Sc 3.07
3 Sc 0.5000 0.5000 0.3572  4 Pd 2.83
4 Sc 0.5000 0.5000 0.6428  4 Pd 2.83
5 Os 0.5000 0.5000 0.0000  8 Sc 2.76
6 Pd 0.0000 0.0000 0.5000  8 Sc 2.83

---

Below is a geometry-optimized HoTl2SbO4 structure, with properties calculated at the GGA-PBE level.

ΔE_f (raw): -1.537 eV per atom
Calculated total energy: -91.1 eV per cell
Size of the total moment: 0.0 Bohr magnetons per cell
Crystal system: orthorhombic

Cell lengths 7.2870, 7.2870, 7.2870 Å; angles 120.98, 119.00, 90.02 degrees
Closest atoms and distances in Å follow each position.
Atoms (fractional coordinates):
1 Ho 0.5000 0.0000 0.0000  6 O 2.33
2 Ho 0.5000 0.5000 0.5000  6 O 2.33
3 Tl 0.0000 0.0000 0.0000  6 O 2.79-2.82
4 Tl 0.0000 0.0000 0.5000  6 O 2.86-2.87
5 Tl 0.0000 0.5000 0.0000  6 O 2.86-2.87
6 Tl 0.5000 0.0000 0.5000  6 O 2.79-2.82
7 Sb 0.0000 0.5000 0.5000  6 O 2.39-2.40
8 Sb 0.5000 0.5000 0.0000  6 O 2.39-2.40
9 O 0.2758 0.3152 0.5394  1 Ho 2.33, 2 Sb 2.40
10 O 0.2758 0.7364 0.9606  1 Ho 2.33, 2 Sb 2.40
11 O 0.2806 0.7290 0.5516  2 Ho 2.33, 1 Sb 2.39
12 O 0.3226 0.2710 0.0516  2 Ho 2.33, 1 Sb 2.39
13 O 0.6774 0.7290 0.9484  2 Ho 2.33, 1 Sb 2.39
14 O 0.7194 0.2710 0.4484  2 Ho 2.33, 1 Sb 2.39
15 O 0.7242 0.2636 0.0394  1 Ho 2.33, 2 Sb 2.40
16 O 0.7242 0.6848 0.4606  1 Ho 2.33, 2 Sb 2.40

---

Below is a geometry-optimized Sm4ScCd structure, with properties calculated at the GGA-PBE level.

ΔE to the lowest computed polymorph: 0.0000 eV per atom
Calculated total energy: -26.6 eV per cell
Size of the total moment: 0.0 Bohr magnetons per cell
E_form: -0.0744 eV per atom
Crystal system: tetragonal

Cell lengths 3.6022, 3.6022, 13.9270 Å; angles 90.00, 90.00, 90.00 degrees
Closest atoms and distances in Å follow each position.
Atoms (fractional coordinates):
1 Sm 0.0000 0.0000 0.1525  4 Cd 3.32, 8 Sm 3.60
2 Sm 0.0000 0.0000 0.8475  4 Cd 3.32, 8 Sm 3.60
3 Sm 0.5000 0.5000 0.3348  4 Sc 3.43, 8 Sm 3.60
4 Sm 0.5000 0.5000 0.6652  4 Sc 3.43, 8 Sm 3.60
5 Sc 0.0000 0.0000 0.5000  8 Sm 3.43, 4 Sc 3.60
6 Cd 0.5000 0.5000 0.0000  8 Sm 3.32, 4 Cd 3.60

---

Below is a geometry-optimized Tb5DyS6 structure, with properties calculated at the GGA-PBE level.

ΔE_f (raw): -2.010 eV per atom
Calculated total energy: -76.6 eV per cell
Size of the total moment: 0.0 Bohr magnetons per cell
Crystal system: monoclinic

Cell lengths 6.8045, 6.8045, 6.7855 Å; angles 99.66, 99.66, 120.12 degrees
Closest atoms and distances in Å follow each position.
Atoms (fractional coordinates):
1 Tb 0.0000 0.0000 0.0000  6 S 2.77-2.78
2 Tb 0.1669 0.8331 0.5000  6 S 2.77-2.78
3 Tb 0.3327 0.6673 0.0000  6 S 2.77-2.78
4 Tb 0.6673 0.3327 0.0000  6 S 2.77-2.78
5 Tb 0.8331 0.1669 0.5000  6 S 2.77-2.78
6 Dy 0.5000 0.5000 0.5000  6 S 2.76-2.77
7 S 0.0849 0.4169 0.2508  1 Dy 2.76, 5 Tb 2.77-2.78
8 S 0.2510 0.2510 0.7495  1 Dy 2.77, 5 Tb 2.78
9 S 0.4169 0.0849 0.2508  1 Dy 2.76, 5 Tb 2.77-2.78
10 S 0.5831 0.9151 0.7492  1 Dy 2.76, 5 Tb 2.77-2.78
11 S 0.7490 0.7490 0.2505  1 Dy 2.77, 5 Tb 2.78
12 S 0.9151 0.5831 0.7492  1 Dy 2.76, 5 Tb 2.77-2.78

---

Number 1: DOS at the Fermi energy 8.8 states/eV/f.u., volume 23.8 Å³ per atom. Number 2: DOS at the Fermi energy 3.6 states/eV/f.u., volume 30.3 Å³ per atom. Number 3: DOS at the Fermi energy 3.0 states/eV/f.u., volume 15.2 Å³ per atom. Number 4: DOS at the Fermi energy 2.2 states/eV/f.u., volume 19.2 Å³ per atom. Number 5: DOS at the Fermi energy 2.7 states/eV/f.u., volume 22.1 Å³ per atom. Number 6: DOS at the Fermi energy 3.5 states/eV/f.u., volume 25.3 Å³ per atom. Number 7: DOS at the Fermi energy 1.9 states/eV/f.u., volume 12.0 Å³ per atom. Number 8: DOS at the Fermi energy 7.2 states/eV/f.u., volume 29.6 Å³ per atom. Number 9: DOS at the Fermi energy 3.6 states/eV/f.u., volume 20.5 Å³ per atom. Number 10: DOS at the Fermi energy 0.2 states/eV/f.u., volume 17.1 Å³ per atom. Number 11: DOS at the Fermi energy 7.3 states/eV/f.u., volume 30.1 Å³ per atom. Number 12: DOS at the Fermi energy 4.2 states/eV/f.u., volume 21.3 Å³ per atom.